1:
! K2RbTbCl6 | the Alexandria database | GGA-PBE | relaxed; values from VASP
! Total magnetic moment, μB/f.u.: 0.0
! Space-group type: No. 146
&SYSTEM
  ibrav = 0, nat = 10, ntyp = 4
/
ATOMIC_SPECIES
K 39.10 K.upf
Rb 85.47 Rb.upf
Tb 158.93 Tb.upf
Cl 35.45 Cl.upf
ATOMIC_POSITIONS crystal
K 0.529 0.529 0.412
K 0.019 0.019 0.943
Rb 0.812 0.812 0.564
Tb 0.323 0.323 0.032
Cl 0.562 0.218 0.238
Cl 0.218 0.982 0.239
Cl 0.982 0.562 0.238
Cl 0.411 0.671 0.783
Cl 0.671 0.135 0.783
Cl 0.135 0.411 0.783
CELL_PARAMETERS angstrom
-0.405 -3.233 -7.072
4.415 -6.180 -1.714
-3.601 -7.267 -0.758

=====

2:
! K2RbTbCl6 | the Alexandria database | GGA-PBE | relaxed; values from VASP
! Total magnetic moment, μB/f.u.: 0.0
! Space-group type: No. 225
&SYSTEM
  ibrav = 0, nat = 10, ntyp = 4
/
ATOMIC_SPECIES
K 39.10 K.upf
Rb 85.47 Rb.upf
Tb 158.93 Tb.upf
Cl 35.45 Cl.upf
ATOMIC_POSITIONS crystal
K 0.750 0.750 0.750
K 0.250 0.250 0.250
Rb 0.500 0.500 0.500
Tb 0.000 0.000 0.000
Cl 0.770 0.230 0.230
Cl 0.230 0.230 0.770
Cl 0.230 0.770 0.770
Cl 0.230 0.770 0.230
Cl 0.770 0.230 0.770
Cl 0.770 0.770 0.230
CELL_PARAMETERS angstrom
-7.204 1.798 -3.293
-3.942 -5.554 -4.425
-6.762 -3.445 2.894

=====

Going by the computed energies, the most stable comes first: 1, 2.

=====

1:
! KRb2TcCl6 | the Alexandria database | GGA-PBE | relaxed; values from VASP
! Total magnetic moment, μB/f.u.: 2.0
! Space-group type: No. 166
&SYSTEM
  ibrav = 0, nat = 20, ntyp = 4
/
ATOMIC_SPECIES
K 39.10 K.upf
Rb 85.47 Rb.upf
Tc 98.00 Tc.upf
Cl 35.45 Cl.upf
ATOMIC_POSITIONS crystal
K 0.586 0.586 0.243
K 0.414 0.414 0.757
Rb 0.859 0.859 0.423
Rb 0.141 0.141 0.577
Rb 0.692 0.692 0.924
Rb 0.308 0.308 0.076
Tc 0.000 0.000 0.000
Tc 0.500 0.500 0.500
Cl 0.846 0.375 0.404
Cl 0.375 0.846 0.404
Cl 0.375 0.375 0.404
Cl 0.154 0.625 0.596
Cl 0.625 0.154 0.596
Cl 0.625 0.625 0.596
Cl 0.720 0.188 0.904
Cl 0.188 0.720 0.904
Cl 0.188 0.188 0.904
Cl 0.280 0.812 0.096
Cl 0.812 0.280 0.096
Cl 0.812 0.812 0.096
CELL_PARAMETERS angstrom
-2.694 -0.240 6.765
-7.019 -1.633 1.070
0.200 -14.831 3.478

=====

2:
! KRb2TcCl6 | the Alexandria database | GGA-PBE | relaxed; values from VASP
! Total magnetic moment, μB/f.u.: 2.0
! Space-group type: No. 225
&SYSTEM
  ibrav = 0, nat = 10, ntyp = 4
/
ATOMIC_SPECIES
K 39.10 K.upf
Tc 98.00 Tc.upf
Rb 85.47 Rb.upf
Cl 35.45 Cl.upf
ATOMIC_POSITIONS crystal
K 0.500 0.500 0.000
Tc 0.000 0.000 0.000
Rb 0.750 0.250 0.500
Rb 0.250 0.750 0.500
Cl 0.224 0.224 0.552
Cl 0.776 0.776 0.448
Cl 0.224 0.224 0.000
Cl 0.776 0.776 0.000
Cl 0.776 0.224 0.000
Cl 0.224 0.776 0.000
CELL_PARAMETERS angstrom
7.613 0.000 0.000
0.000 7.613 0.000
3.807 3.807 5.383

=====

Going by the computed energies, the most stable comes first: 1, 2.